Entry from Alexandria: a relaxed structure of Ta2TlBr (PBE).

CIF file:
```
data_Ta2TlBr
_cell_length_a 4.1476
_cell_length_b 4.1476
_cell_length_c 20.8171
_cell_angle_alpha 90.00
_cell_angle_beta 90.00
_cell_angle_gamma 90.00
_symmetry_space_group_name_H-M 'P 1'
_symmetry_Int_Tables_number 1
_symmetry_space_group_name_Hall 'P 1'
loop_
_atom_site_label
_atom_site_type_symbol
_atom_site_fract_x
_atom_site_fract_y
_atom_site_fract_z
_atom_site_occupancy
Ta1 Ta 0.2376 0.2500 0.1250 1
Ta2 Ta 0.2500 0.7376 0.3750 1
Ta3 Ta 0.2500 0.7624 0.8750 1
Ta4 Ta 0.2624 0.2500 0.6250 1
Ta5 Ta 0.7376 0.7500 0.6250 1
Ta6 Ta 0.7500 0.2376 0.8750 1
Ta7 Ta 0.7500 0.2624 0.3750 1
Ta8 Ta 0.7624 0.7500 0.1250 1
Tl1 Tl 0.0000 0.0000 0.0000 1
Tl2 Tl 0.0000 0.5000 0.2500 1
Tl3 Tl 0.5000 0.0000 0.7500 1
Tl4 Tl 0.5000 0.5000 0.5000 1
Br1 Br 0.0000 0.0000 0.5000 1
Br2 Br 0.0000 0.5000 0.7500 1
Br3 Br 0.5000 0.0000 0.2500 1
Br4 Br 0.5000 0.5000 0.0000 1
```

Computed properties:
Its excess energy over the best structure of this formula in the dataset is 0.706 eV per atom. Its density of states at the Fermi level is 8.28 states/eV per cell. The calculation puts the total energy at -6.037 eV/atom.